An optimized crystal structure of ScTcMo. Source: the Open Quantum Materials Database, functional GGA-PBE.

Unit cell a=5.2929 b=5.2929 c=5.2929 alpha=119.71 beta=119.48 gamma=90.70
Last column: nearest neighbours and their distance in Å.
Atoms (fractional coordinates):
Mo (0.0000, 0.5000, 0.0000)  4 Tc 2.65, 2 Mo 2.66
Mo (0.0000, 0.0000, 0.5000)  4 Tc 2.65, 2 Mo 2.66
Sc (0.3769, 0.1269, 0.2500)  6 Tc 3.08-3.12, 6 Mo 3.10-3.12, 4 Sc 3.23-3.27
Sc (0.6231, 0.8731, 0.7500)  6 Tc 3.08-3.12, 6 Mo 3.10-3.12, 4 Sc 3.23-3.27
Tc (0.5000, 0.5000, 0.0000)  4 Mo 2.65, 2 Tc 2.67
Tc (0.0000, 0.5000, 0.5000)  4 Mo 2.65, 2 Tc 2.67

Results
**DFT formation energy**: -175 meV per atom
**SG**: Imma, No. 74
**Relative energy among the computed polymorphs**: 0 kJ/mol of formula units

=====

An optimized crystal structure of ScTc2Mo. Source: the Open Quantum Materials Database, functional GGA-PBE.

Unit cell a=4.4614 b=6.3139 c=13.3928 alpha=90.00 beta=90.00 gamma=90.00
Last column: nearest neighbours and their distance in Å.
Atoms (fractional coordinates):
Mo (0.0000, 0.0000, 0.0000)  8 Tc 2.73
Mo (0.5000, 0.5000, 0.1667)  8 Tc 2.73
Mo (0.0000, 0.0000, 0.3333)  8 Tc 2.73
Mo (0.5000, 0.5000, 0.5000)  8 Tc 2.73
Mo (0.0000, 0.0000, 0.6667)  8 Tc 2.73
Mo (0.5000, 0.5000, 0.8333)  8 Tc 2.73
Sc (0.0000, 0.5000, 0.0000)  8 Tc 2.73
Sc (0.5000, 0.0000, 0.1667)  8 Tc 2.73
Sc (0.0000, 0.5000, 0.3333)  8 Tc 2.73
Sc (0.5000, 0.0000, 0.5000)  8 Tc 2.73
Sc (0.0000, 0.5000, 0.6667)  8 Tc 2.73
Sc (0.5000, 0.0000, 0.8333)  8 Tc 2.73
Tc (0.5000, 0.2499, 0.0000)  4 Mo 2.73, 4 Sc 2.73
Tc (0.5000, 0.7501, 0.0000)  4 Mo 2.73, 4 Sc 2.73
Tc (0.0000, 0.2501, 0.1667)  4 Mo 2.73, 4 Sc 2.73
Tc (0.0000, 0.7499, 0.1667)  4 Mo 2.73, 4 Sc 2.73
Tc (0.5000, 0.2499, 0.3333)  4 Mo 2.73, 4 Sc 2.73
Tc (0.5000, 0.7501, 0.3333)  4 Mo 2.73, 4 Sc 2.73
Tc (0.0000, 0.2501, 0.5000)  4 Mo 2.73, 4 Sc 2.73
Tc (0.0000, 0.7499, 0.5000)  4 Mo 2.73, 4 Sc 2.73
Tc (0.5000, 0.2499, 0.6667)  4 Mo 2.73, 4 Sc 2.73
Tc (0.5000, 0.7501, 0.6667)  4 Mo 2.73, 4 Sc 2.73
Tc (0.0000, 0.2501, 0.8333)  4 Mo 2.73, 4 Sc 2.73
Tc (0.0000, 0.7499, 0.8333)  4 Mo 2.73, 4 Sc 2.73

Results
**DFT formation energy**: -176 meV per atom
**SG**: Fm-3m, No. 225
**Relative energy among the computed polymorphs**: 0 kJ/mol of formula units

=====

An optimized crystal structure of ScTc2Mo. Source: the Open Quantum Materials Database, functional GGA-PBE.

Unit cell a=3.1437 b=3.1437 c=6.4552 alpha=90.00 beta=90.00 gamma=90.00
Last column: nearest neighbours and their distance in Å.
Atoms (fractional coordinates):
Mo (0.0000, 0.0000, 0.5000)  8 Tc 2.69
Sc (0.0000, 0.0000, 0.0000)  8 Tc 2.81, 4 Sc 3.14
Tc (0.5000, 0.5000, 0.2665)  4 Mo 2.69, 4 Sc 2.81
Tc (0.5000, 0.5000, 0.7335)  4 Mo 2.69, 4 Sc 2.81

Results
**DFT formation energy**: -173 meV per atom
**SG**: P4/mmm, No. 123
**Relative energy among the computed polymorphs**: 1 kJ/mol of formula units

=====

An optimized crystal structure of ScTc2Mo. Source: the Open Quantum Materials Database, functional GGA-PBE.

Unit cell a=6.3128 b=6.3357 c=6.3045 alpha=90.00 beta=90.00 gamma=90.00
Last column: nearest neighbours and their distance in Å.
Atoms (fractional coordinates):
Mo (0.7502, 0.2500, 0.0001)  8 Tc 2.73-2.74
Mo (0.2502, 0.7500, 0.4999)  8 Tc 2.73-2.74
Mo (0.7498, 0.2500, 0.5001)  8 Tc 2.73-2.74
Mo (0.2498, 0.7500, 0.9999)  8 Tc 2.73-2.74
Sc (0.7498, 0.7500, 0.0003)  8 Tc 2.73-2.74
Sc (0.2498, 0.2500, 0.4997)  8 Tc 2.73-2.74
Sc (0.7502, 0.7500, 0.5003)  8 Tc 2.73-2.74
Sc (0.2502, 0.2500, 0.9997)  8 Tc 2.73-2.74
Tc (0.9998, 0.0002, 0.2499)  4 Mo 2.73-2.74, 4 Sc 2.73-2.74
Tc (0.9998, 0.4998, 0.2499)  4 Mo 2.73-2.74, 4 Sc 2.73-2.74
Tc (0.4998, 0.5002, 0.2501)  4 Mo 2.73-2.74, 4 Sc 2.73-2.74
Tc (0.4998, 0.9998, 0.2501)  4 Mo 2.73-2.74, 4 Sc 2.73-2.74
Tc (0.5002, 0.0002, 0.7499)  4 Mo 2.73-2.74, 4 Sc 2.73-2.74
Tc (0.5002, 0.4998, 0.7499)  4 Mo 2.73-2.74, 4 Sc 2.73-2.74
Tc (0.0002, 0.5002, 0.7501)  4 Mo 2.73-2.74, 4 Sc 2.73-2.74
Tc (0.0002, 0.9998, 0.7501)  4 Mo 2.73-2.74, 4 Sc 2.73-2.74

Results
**DFT formation energy**: -139 meV per atom
**SG**: Cmmm, No. 65
**Relative energy among the computed polymorphs**: 14 kJ/mol of formula units

=====

An optimized crystal structure of ScTc2Mo. Source: the Open Quantum Materials Database, functional GGA-PBE.

Unit cell a=4.4744 b=4.4744 c=3.1469 alpha=90.00 beta=90.00 gamma=90.00
Last column: nearest neighbours and their distance in Å.
Atoms (fractional coordinates):
Mo (0.5000, 0.5000, 0.0000)  8 Tc 2.74
Sc (0.0000, 0.0000, 0.0000)  8 Tc 2.74
Tc (0.5000, 0.0000, 0.5000)  4 Mo 2.74, 4 Sc 2.74
Tc (0.0000, 0.5000, 0.5000)  4 Mo 2.74, 4 Sc 2.74

Results
**DFT formation energy**: -139 meV per atom
**SG**: P4/mmm, No. 123
**Relative energy among the computed polymorphs**: 14 kJ/mol of formula units

=====

An optimized crystal structure of ScTeMo2. Source: the Open Quantum Materials Database, functional GGA-PBE.

Unit cell a=4.6723 b=4.6723 c=4.6723 alpha=60.00 beta=60.00 gamma=60.00
Last column: nearest neighbours and their distance in Å.
Atoms (fractional coordinates):
Mo (0.0000, 0.0000, 0.0000)  4 Mo 2.86, 4 Te 2.86
Mo (0.7500, 0.7500, 0.7500)  4 Mo 2.86, 4 Sc 2.86
Sc (0.5000, 0.5000, 0.5000)  4 Te 2.86, 4 Mo 2.86
Te (0.2500, 0.2500, 0.2500)  4 Sc 2.86, 4 Mo 2.86

Results
**Calculated total energy**: -7.5643 eV/atom
**SG**: F-43m, No. 216

=====

An optimized crystal structure of ThScMo. Source: the Open Quantum Materials Database, functional GGA-PBE.

Unit cell a=4.7669 b=4.7669 c=4.7669 alpha=60.00 beta=60.00 gamma=60.00
Last column: nearest neighbours and their distance in Å.
Atoms (fractional coordinates):
Mo (0.0000, 0.0000, 0.0000)  4 Th 2.92, 4 Sc 2.92
Sc (0.2500, 0.2500, 0.2500)  4 Mo 2.92
Th (0.7500, 0.7500, 0.7500)  4 Mo 2.92

Results
**DFT formation energy**: 359 meV per atom
**SG**: F-43m, No. 216
**Relative energy among the computed polymorphs**: 0 kJ/mol of formula units

=====

An optimized crystal structure of ScMo2W. Source: the Open Quantum Materials Database, functional GGA-PBE.

Unit cell a=4.5424 b=4.5424 c=4.5424 alpha=60.00 beta=60.00 gamma=60.00
Last column: nearest neighbours and their distance in Å.
Atoms (fractional coordinates):
Mo (0.0000, 0.0000, 0.0000)  4 Mo 2.78, 4 W 2.78
Mo (0.7500, 0.7500, 0.7500)  4 Mo 2.78, 4 Sc 2.78
Sc (0.5000, 0.5000, 0.5000)  4 Mo 2.78, 4 W 2.78
W (0.2500, 0.2500, 0.2500)  4 Mo 2.78, 4 Sc 2.78

Results
**DFT formation energy**: 175 meV per atom
**SG**: F-43m, No. 216

=====

An optimized crystal structure of ScMoW. Source: the Open Quantum Materials Database, functional GGA-PBE.

Unit cell a=4.3897 b=4.3897 c=4.3897 alpha=60.00 beta=60.00 gamma=60.00
Last column: nearest neighbours and their distance in Å.
Atoms (fractional coordinates):
Mo (0.0000, 0.0000, 0.0000)  4 Sc 2.69, 4 W 2.69
Sc (0.2500, 0.2500, 0.2500)  4 Mo 2.69
W (0.7500, 0.7500, 0.7500)  4 Mo 2.69

Results
**DFT formation energy**: 699 meV per atom
**SG**: F-43m, No. 216
**Relative energy among the computed polymorphs**: 0 kJ/mol of formula units

=====

An optimized crystal structure of Y2ScMo. Source: the Open Quantum Materials Database, functional GGA-PBE.

Unit cell a=5.0983 b=5.0983 c=5.0983 alpha=60.00 beta=60.00 gamma=60.00
Last column: nearest neighbours and their distance in Å.
Atoms (fractional coordinates):
Mo (0.0000, 0.0000, 0.0000)  4 Y 3.12, 4 Sc 3.12
Sc (0.2500, 0.2500, 0.2500)  4 Mo 3.12, 4 Y 3.12
Y (0.5000, 0.5000, 0.5000)  4 Sc 3.12, 4 Y 3.12
Y (0.7500, 0.7500, 0.7500)  4 Mo 3.12, 4 Y 3.12

Results
**DFT formation energy**: 350 meV per atom
**SG**: F-43m, No. 216

=====

An optimized crystal structure of Zr2ScMo. Source: the Open Quantum Materials Database, functional GGA-PBE.

Unit cell a=4.8674 b=4.8674 c=4.8674 alpha=60.00 beta=60.00 gamma=60.00
Last column: nearest neighbours and their distance in Å.
Atoms (fractional coordinates):
Mo (0.0000, 0.0000, 0.0000)  4 Zr 2.98, 4 Sc 2.98
Sc (0.2500, 0.2500, 0.2500)  4 Zr 2.98, 4 Mo 2.98
Zr (0.5000, 0.5000, 0.5000)  4 Sc 2.98, 4 Zr 2.98
Zr (0.7500, 0.7500, 0.7500)  4 Mo 2.98, 4 Zr 2.98

Results
**DFT formation energy**: 180 meV per atom
**SG**: F-43m, No. 216